Cs4KTl2 | PBE | relaxed

a b c (Å): 8.0376 8.0376 11.2725
angles (deg): 69.11 69.11 90.00
Last column: nearest neighbours and their distance in Å.
Sites, in units of the cell vectors:
Cs 0.7693 0.7693 0.4615  1 Tl 3.78
Cs 0.5000 0.0000 0.0000  2 K 4.02, 4 Tl 4.28
Cs 0.2307 0.2307 0.5385  1 Tl 3.78
Cs 0.0000 0.5000 0.0000  2 K 4.02, 4 Tl 4.28
Tl 0.5750 0.5750 0.8501  1 Tl 2.92
Tl 0.4250 0.4250 0.1499  1 Tl 2.92
K 0.0000 0.0000 0.0000  6 Cs 4.02-4.49

Properties
N(E_F)   1.095 states/eV/atom
Energy relative to the elements   142 meV/atom

=====

CsK2Tl | PBE | relaxed

a b c (Å): 6.3297 6.3297 8.1674
angles (deg): 67.20 67.20 60.00
Last column: nearest neighbours and their distance in Å.
Sites, in units of the cell vectors:
Cs 0.4922 0.4922 0.5234  4 Tl 4.34-4.70, 7 K 4.55-4.59
K 0.0345 0.0345 0.8965  3 Tl 3.66
K 0.2828 0.2828 0.1515  3 Tl 4.00, 3 K 4.10
Tl 0.6905 0.6905 0.9286  6 K 3.66-4.00

Properties
N(E_F)   1.077 states/eV/atom
Energy relative to the elements   39 meV/atom
Energy above the lowest structure with this stoichiometry   37 meV per atom

=====

Cs6KTl3 | PBE | relaxed

a b c (Å): 8.6937 8.6937 8.6937
angles (deg): 92.65 92.65 92.65
Last column: nearest neighbours and their distance in Å.
Sites, in units of the cell vectors:
Cs 0.7547 0.3858 0.0720  2 Tl 4.18-4.31, 2 Cs 4.46-4.55
Cs 0.2947 0.5574 0.9336  3 Tl 4.04-4.28, 1 Cs 4.46
Cs 0.5574 0.9336 0.2947  3 Tl 4.04-4.28, 1 Cs 4.46
Cs 0.0720 0.7547 0.3858  2 Tl 4.18-4.31, 2 Cs 4.46-4.55
Cs 0.9336 0.2947 0.5574  3 Tl 4.04-4.28, 1 Cs 4.46
Cs 0.3858 0.0720 0.7547  2 Tl 4.18-4.31, 2 Cs 4.46-4.55
Tl 0.5914 0.5914 0.5914  1 Tl 3.05
Tl 0.1614 0.1614 0.1614  1 Tl 3.12
Tl 0.3787 0.3787 0.3787  2 Tl 3.05-3.12
K 0.8703 0.8703 0.8703  2 Tl 4.00-4.18

Properties
N(E_F)   1.106 states/eV/atom
Energy relative to the elements   -8 meV/atom

=====

CsK2Tl | PBE | relaxed

a b c (Å): 6.3217 9.3785 9.3785
angles (deg): 101.83 90.00 90.00
Last column: nearest neighbours and their distance in Å.
Sites, in units of the cell vectors:
K 0.2500 0.6618 0.1183  2 Tl 3.90, 2 K 4.09, 1 Cs 4.21
K 0.7500 0.3382 0.8817  2 Tl 3.90, 2 K 4.09, 1 Cs 4.21
K 0.2500 0.1183 0.6618  2 Tl 3.90, 2 K 4.09, 1 Cs 4.21
K 0.7500 0.8817 0.3382  2 Tl 3.90, 2 K 4.09, 1 Cs 4.21
Cs 0.7500 0.3285 0.3285  2 Tl 4.19, 2 K 4.21
Cs 0.2500 0.6715 0.6715  2 Tl 4.19, 2 K 4.21
Tl 0.0000 0.0000 0.0000  2 Tl 3.16
Tl 0.5000 0.0000 0.0000  2 Tl 3.16

Properties
N(E_F)   0.793 states/eV/atom
Energy relative to the elements   44 meV/atom
Energy above the lowest structure with this stoichiometry   42 meV per atom

=====

Cs3K2Tl4 | PBE | relaxed

a b c (Å): 6.7319 8.1977 11.8692
angles (deg): 63.55 68.29 61.67
Last column: nearest neighbours and their distance in Å.
Sites, in units of the cell vectors:
Cs 0.3856 0.8736 0.3967  4 Tl 3.97-4.36, 2 K 4.23-4.37
Cs 0.6144 0.1264 0.6033  4 Tl 3.97-4.36, 2 K 4.23-4.37
Cs 0.0000 0.0000 0.0000  6 Tl 4.18-4.50, 2 K 4.66
K 0.7499 0.4646 0.1964  4 Tl 3.54-3.80
K 0.2501 0.5354 0.8036  4 Tl 3.54-3.80
Tl 0.8902 0.5113 0.6334  2 Tl 3.01-3.05
Tl 0.6508 0.6155 0.8793  2 Tl 3.05-3.23
Tl 0.1098 0.4887 0.3666  2 Tl 3.01-3.05
Tl 0.3492 0.3845 0.1207  2 Tl 3.05-3.23

Properties
N(E_F)   0.577 states/eV/atom
Energy relative to the elements   -46 meV/atom

=====

CsK2Tl | PBE | relaxed

a b c (Å): 6.1924 6.1144 6.1144
angles (deg): 90.00 90.00 90.00
Last column: nearest neighbours and their distance in Å.
Sites, in units of the cell vectors:
K 0.0000 0.0000 0.5000  4 K 4.32, 4 Cs 4.35, 4 Tl 4.35
K 0.0000 0.5000 0.0000  4 K 4.32, 4 Cs 4.35, 4 Tl 4.35
Cs 0.5000 0.5000 0.5000  4 Tl 4.32, 8 K 4.35
Tl 0.5000 0.0000 0.0000  4 Cs 4.32, 8 K 4.35

Properties
N(E_F)   0.830 states/eV/atom
Energy relative to the elements   59 meV/atom
Energy above the lowest structure with this stoichiometry   57 meV per atom

=====

Copy entry 1 word for word.
Cs4KTl2 | PBE | relaxed

a b c (Å): 8.0376 8.0376 11.2725
angles (deg): 69.11 69.11 90.00
Last column: nearest neighbours and their distance in Å.
Sites, in units of the cell vectors:
Cs 0.7693 0.7693 0.4615  1 Tl 3.78
Cs 0.5000 0.0000 0.0000  2 K 4.02, 4 Tl 4.28
Cs 0.2307 0.2307 0.5385  1 Tl 3.78
Cs 0.0000 0.5000 0.0000  2 K 4.02, 4 Tl 4.28
Tl 0.5750 0.5750 0.8501  1 Tl 2.92
Tl 0.4250 0.4250 0.1499  1 Tl 2.92
K 0.0000 0.0000 0.0000  6 Cs 4.02-4.49

Properties
N(E_F)   1.095 states/eV/atom
Energy relative to the elements   142 meV/atom

=====

What is the energy relative to the elements in the first record?
142 meV/atom